Entry 1:
First-principles (PBE) data for crystalline LiPm2SnO at its relaxed geometry, as listed in the Alexandria database. Values from VASP.

Cell and atoms, written as Quantum ESPRESSO input:
```
&SYSTEM
  ibrav = 0, nat = 5, ntyp = 4
/
ATOMIC_SPECIES
Pm 145.00 Pm.upf
Li 6.94 Li.upf
O 16.00 O.upf
Sn 118.71 Sn.upf
ATOMIC_POSITIONS angstrom
Pm 2.333 -0.005 0.764
Li -0.648 0.700 1.984
Pm -0.247 -2.327 0.740
O 0.000 0.000 0.000
Sn 1.438 -1.632 3.488
CELL_PARAMETERS angstrom
-1.296 1.399 3.967
-0.494 -4.655 1.480
4.666 -0.009 1.528
```

Calculated values
Formation energy (no corrections) ... -1.5189 eV per atom



Entry 2:
First-principles (PBE) data for crystalline BaCa2As at its relaxed geometry, as listed in the Alexandria database. Values from VASP.

Cell and atoms, written as Quantum ESPRESSO input:
```
&SYSTEM
  ibrav = 0, nat = 4, ntyp = 3
/
ATOMIC_SPECIES
Ca 40.08 Ca.upf
As 74.92 As.upf
Ba 137.33 Ba.upf
ATOMIC_POSITIONS angstrom
Ca 2.158 2.909 1.956
Ca 0.000 2.901 6.966
As 0.000 2.904 3.993
Ba 2.158 5.493 4.670
CELL_PARAMETERS angstrom
4.317 0.000 0.000
0.000 5.177 0.007
0.000 2.577 7.030
```

Calculated values
Formation enthalpy at 0 K ... -607 meV/atom



Number 1: magnetic moment 0.00 μB per atom. Number 2: magnetic moment 0.16 μB per atom.